(1)
4
Lattice="0.000 3.982 3.982 3.982 0.000 3.982 3.982 3.982 0.000" Properties=species:S:1:pos:R:3 comment="Pr2SmIn PBE-GGA relaxed" spacegroup="No. 225" n_ef_per_ev_cell=6.87 e_tot_ev_per_atom=-4.39 e_above_lowest_polymorph_mev_per_atom=132 pbc="T T T"
Pr 1.991 1.991 1.991
Pr 5.973 5.973 5.973
Sm 0.000 0.000 0.000
In 3.982 3.982 3.982



(2)
12
Lattice="7.658 -2.925 0.000 7.658 2.925 0.000 -3.803 0.000 8.382" Properties=species:S:1:pos:R:3 comment="Pr5Sm3In4 PBE-GGA relaxed" spacegroup="No. 12" n_ef_per_ev_cell=13.58 e_tot_ev_per_atom=-4.21 pbc="T T T"
Pr 0.000 0.000 0.000
Pr -0.530 0.000 3.536
Pr 2.639 0.000 5.198
Pr 8.874 0.000 3.185
Pr 12.043 0.000 4.847
Sm -0.413 0.000 7.132
Sm 7.658 0.000 0.000
Sm 11.927 0.000 1.250
In 2.566 0.000 1.950
In 5.494 0.000 2.650
In 6.020 0.000 5.733
In 8.948 0.000 6.432



Copy entry 2 word for word.
12
Lattice="7.658 -2.925 0.000 7.658 2.925 0.000 -3.803 0.000 8.382" Properties=species:S:1:pos:R:3 comment="Pr5Sm3In4 PBE-GGA relaxed" spacegroup="No. 12" n_ef_per_ev_cell=13.58 e_tot_ev_per_atom=-4.21 pbc="T T T"
Pr 0.000 0.000 0.000
Pr -0.530 0.000 3.536
Pr 2.639 0.000 5.198
Pr 8.874 0.000 3.185
Pr 12.043 0.000 4.847
Sm -0.413 0.000 7.132
Sm 7.658 0.000 0.000
Sm 11.927 0.000 1.250
In 2.566 0.000 1.950
In 5.494 0.000 2.650
In 6.020 0.000 5.733
In 8.948 0.000 6.432